# 1
RbCd2GaPd: relaxed, PBE.

Geometry as POSCAR:
```
RbCd2GaPd
1.0
-5.0158 1.6009 1.0730
-0.9506 -4.6575 2.5053
1.5280 1.9585 4.2208
Rb Cd Ga Pd
1 2 1 1
Cartesian
-2.2192 -0.5490 3.8995 Rb
-0.4753 -2.3287 1.2527 Cd
-2.5079 0.8004 0.5365 Cd
0.7640 0.9793 2.1104 Ga
0.0000 0.0000 0.0000 Pd
```

Properties
ρ = 5.71 g/cm³
Volume = 141.4 Å³/f.u.
Formation energy = -0.1987 eV per atom



# 2
CdGaSb2Pd: relaxed, PBE.

Geometry as POSCAR:
```
CdGaSb2Pd
1.0
-3.8995 -3.1228 1.7268
0.0721 -2.4600 -4.2859
3.5677 -3.3564 1.9865
Sb Cd Ga Pd
2 1 1 1
Cartesian
-1.9497 -1.5614 0.8634 Sb
1.7838 -1.6782 0.9932 Sb
0.0360 -1.2300 -2.1430 Cd
0.0000 0.0000 0.0000 Ga
-0.1299 -4.4696 -0.2863 Pd
```

Properties
ρ = 6.40 g/cm³
ΔE_f (raw) = 660 meV per atom
Volume = 138.1 Å³/f.u.



# 3
Sc2CdGa2Pd5: relaxed, PBE.

Geometry as POSCAR:
```
Sc2CdGa2Pd5
1.0
3.8039 0.0000 0.0000
0.0000 9.5312 0.0000
0.0000 0.0000 9.5312
Pd Sc Ga Cd
10 4 4 2
Cartesian
1.9019 2.7871 5.4454 Pd
1.9019 7.5527 8.8513 Pd
1.9019 4.0858 2.7871 Pd
1.9019 4.7656 0.0000 Pd
1.9019 0.6798 7.5527 Pd
1.9019 5.4454 6.7440 Pd
1.9019 0.0000 4.7656 Pd
1.9019 1.9785 0.6798 Pd
1.9019 6.7440 4.0858 Pd
1.9019 8.8513 1.9785 Pd
0.0000 6.4230 1.6574 Sc
0.0000 7.8737 6.4230 Sc
0.0000 1.6574 3.1082 Sc
0.0000 3.1082 7.8737 Sc
0.0000 5.9532 8.3436 Ga
0.0000 1.1876 5.9532 Ga
0.0000 3.5780 1.1876 Ga
0.0000 8.3436 3.5780 Ga
0.0000 4.7656 4.7656 Cd
0.0000 0.0000 0.0000 Cd
```

Properties
ρ = 8.40 g/cm³
Volume = 172.8 Å³/f.u.
Formation energy = -0.6579 eV per atom



# 4
Sc4CdGaPd2: relaxed, PBE.

Geometry as POSCAR:
```
Sc4CdGaPd2
1.0
4.7769 0.0000 0.0000
2.3884 4.1369 0.0000
2.3884 1.3790 7.8309
Sc Pd Cd Ga
4 2 1 1
Cartesian
7.1653 4.1369 3.0074 Sc
2.3884 1.3790 4.8235 Sc
4.7769 2.7579 6.7719 Sc
4.7769 2.7579 1.0590 Sc
2.3884 1.3790 1.9226 Pd
7.1653 4.1369 5.9083 Pd
0.0000 0.0000 0.0000 Cd
4.7769 2.7579 3.9155 Ga
```

Properties
ρ = 6.17 g/cm³
Volume = 154.8 Å³/f.u.
Formation energy = -0.6433 eV per atom



Please write out number 2 again, unchanged.
CdGaSb2Pd: relaxed, PBE.

Geometry as POSCAR:
```
CdGaSb2Pd
1.0
-3.8995 -3.1228 1.7268
0.0721 -2.4600 -4.2859
3.5677 -3.3564 1.9865
Sb Cd Ga Pd
2 1 1 1
Cartesian
-1.9497 -1.5614 0.8634 Sb
1.7838 -1.6782 0.9932 Sb
0.0360 -1.2300 -2.1430 Cd
0.0000 0.0000 0.0000 Ga
-0.1299 -4.4696 -0.2863 Pd
```

Properties
ρ = 6.40 g/cm³
ΔE_f (raw) = 660 meV per atom
Volume = 138.1 Å³/f.u.



- Among the records above, which one has the highest ρ?
  Sc2CdGa2Pd5



Copy entry 3 word for word.
Sc2CdGa2Pd5: relaxed, PBE.

Geometry as POSCAR:
```
Sc2CdGa2Pd5
1.0
3.8039 0.0000 0.0000
0.0000 9.5312 0.0000
0.0000 0.0000 9.5312
Pd Sc Ga Cd
10 4 4 2
Cartesian
1.9019 2.7871 5.4454 Pd
1.9019 7.5527 8.8513 Pd
1.9019 4.0858 2.7871 Pd
1.9019 4.7656 0.0000 Pd
1.9019 0.6798 7.5527 Pd
1.9019 5.4454 6.7440 Pd
1.9019 0.0000 4.7656 Pd
1.9019 1.9785 0.6798 Pd
1.9019 6.7440 4.0858 Pd
1.9019 8.8513 1.9785 Pd
0.0000 6.4230 1.6574 Sc
0.0000 7.8737 6.4230 Sc
0.0000 1.6574 3.1082 Sc
0.0000 3.1082 7.8737 Sc
0.0000 5.9532 8.3436 Ga
0.0000 1.1876 5.9532 Ga
0.0000 3.5780 1.1876 Ga
0.0000 8.3436 3.5780 Ga
0.0000 4.7656 4.7656 Cd
0.0000 0.0000 0.0000 Cd
```

Properties
ρ = 8.40 g/cm³
Volume = 172.8 Å³/f.u.
Formation energy = -0.6579 eV per atom